1.
The following is a PBE calculation of crystalline RbSbIN2 at its relaxed geometry, from the Alexandria database.

Cell: 5.1777 5.1777 7.1789 Å, 90.00 90.00 90.00°
Space group P4/mmm (No. 123)
Inequivalent atoms, fractional coordinates:
Rb: 0.0000 0.0000 0.0000
Sb: 0.5000 0.5000 0.5000
I: 0.0000 0.0000 0.5000
N: 0.0000 0.5000 0.0000

The uncorrected formation energy is 2018 meV/atom. As for the total moment: 5.52 Bohr magnetons per cell. The density of states at the Fermi level is 7.82 states/eV/cell.



2.
The following is a PBE calculation of crystalline RbScIN2 at its relaxed geometry, from the Alexandria database.

Cell: 4.5908 4.5908 5.8909 Å, 90.00 90.00 90.00°
Space group P4/mmm (No. 123)
Inequivalent atoms, fractional coordinates:
Rb: 0.0000 0.0000 0.0000
Sc: 0.5000 0.5000 0.5000
I: 0.5000 0.5000 0.0000
N: 0.0000 0.5000 0.5000

The uncorrected formation energy is 170 meV/atom. As for the total moment: 3.00 Bohr magnetons per cell. The density of states at the Fermi level is 2.14 states/eV/cell.



3.
The following is a PBE calculation of crystalline RbScIN2 at its relaxed geometry, from the Alexandria database.

Cell: 4.5314 4.5314 6.1007 Å, 90.00 90.00 90.00°
Space group P4/mmm (No. 123)
Inequivalent atoms, fractional coordinates:
Rb: 0.0000 0.0000 0.0000
Sc: 0.5000 0.5000 0.5000
I: 0.0000 0.0000 0.5000
N: 0.0000 0.5000 0.0000

The uncorrected formation energy is 1963 meV/atom. As for the total moment: 0.27 Bohr magnetons per cell. The density of states at the Fermi level is 5.84 states/eV/cell.



4.
The following is a PBE calculation of crystalline RbSeI2N at its relaxed geometry, from the Alexandria database.

Cell: 6.5864 6.5864 3.7534 Å, 90.00 90.00 90.00°
Space group P4/mmm (No. 123)
Inequivalent atoms, fractional coordinates:
Rb: 0.0000 0.0000 0.0000
Se: 0.5000 0.5000 0.5000
I: 0.0000 0.5000 0.5000
N: 0.5000 0.5000 0.0000

The uncorrected formation energy is 116 meV/atom. As for the total moment: 0.00 Bohr magnetons per cell. The density of states at the Fermi level is 2.45 states/eV/cell.



5.
The following is a PBE calculation of crystalline RbSe2IN at its relaxed geometry, from the Alexandria database.

Cell: 5.8169 5.8169 4.0821 Å, 90.00 90.00 90.00°
Space group P4/mmm (No. 123)
Inequivalent atoms, fractional coordinates:
Rb: 0.0000 0.0000 0.0000
Se: 0.0000 0.5000 0.5000
I: 0.5000 0.5000 0.5000
N: 0.5000 0.5000 0.0000

The uncorrected formation energy is 683 meV/atom. As for the total moment: 1.08 Bohr magnetons per cell. The density of states at the Fermi level is 4.68 states/eV/cell.



6.
The following is a PBE calculation of crystalline RbSeIN2 at its relaxed geometry, from the Alexandria database.

Cell: 5.2338 5.2338 6.8538 Å, 90.00 90.00 90.00°
Space group P4/mmm (No. 123)
Inequivalent atoms, fractional coordinates:
Rb: 0.0000 0.0000 0.0000
Se: 0.0000 0.0000 0.5000
I: 0.5000 0.5000 0.5000
N: 0.0000 0.5000 0.0000

The uncorrected formation energy is 2017 meV/atom. As for the total moment: 5.82 Bohr magnetons per cell. The density of states at the Fermi level is 4.75 states/eV/cell.



7.
The following is a PBE calculation of crystalline RbSeI2N at its relaxed geometry, from the Alexandria database.

Cell: 6.6062 6.6062 4.3618 Å, 90.00 90.00 90.00°
Space group P4/mmm (No. 123)
Inequivalent atoms, fractional coordinates:
Rb: 0.0000 0.0000 0.0000
Se: 0.5000 0.5000 0.5000
I: 0.0000 0.5000 0.0000
N: 0.0000 0.0000 0.5000

The uncorrected formation energy is 1591 meV/atom. As for the total moment: 0.00 Bohr magnetons per cell. The density of states at the Fermi level is 11.63 states/eV/cell.



8.
The following is a PBE calculation of crystalline RbSeIN2 at its relaxed geometry, from the Alexandria database.

Cell: 4.5370 4.5370 5.5371 Å, 90.00 90.00 90.00°
Space group P4/mmm (No. 123)
Inequivalent atoms, fractional coordinates:
Rb: 0.0000 0.0000 0.0000
Se: 0.5000 0.5000 0.0000
I: 0.5000 0.5000 0.5000
N: 0.0000 0.5000 0.5000

The uncorrected formation energy is 1402 meV/atom. As for the total moment: 2.08 Bohr magnetons per cell. The density of states at the Fermi level is 3.04 states/eV/cell.



9.
The following is a PBE calculation of crystalline RbSeIN2 at its relaxed geometry, from the Alexandria database.

Cell: 4.4815 4.4815 6.3135 Å, 90.00 90.00 90.00°
Space group P4/mmm (No. 123)
Inequivalent atoms, fractional coordinates:
Rb: 0.0000 0.0000 0.0000
Se: 0.5000 0.5000 0.5000
I: 0.5000 0.5000 0.0000
N: 0.0000 0.5000 0.5000

The uncorrected formation energy is 1287 meV/atom. As for the total moment: 2.69 Bohr magnetons per cell. The density of states at the Fermi level is 2.39 states/eV/cell.



10.
The following is a PBE calculation of crystalline RbSe2IN at its relaxed geometry, from the Alexandria database.

Cell: 6.5101 6.5101 4.7409 Å, 90.00 90.00 90.00°
Space group P4/mmm (No. 123)
Inequivalent atoms, fractional coordinates:
Rb: 0.0000 0.0000 0.0000
Se: 0.0000 0.5000 0.0000
I: 0.5000 0.5000 0.5000
N: 0.0000 0.0000 0.5000

The uncorrected formation energy is 1806 meV/atom. As for the total moment: 4.19 Bohr magnetons per cell. The density of states at the Fermi level is 13.71 states/eV/cell.



11.
The following is a PBE calculation of crystalline RbSiI2N at its relaxed geometry, from the Alexandria database.

Cell: 6.7297 6.7297 5.2691 Å, 90.00 90.00 90.00°
Space group P4/mmm (No. 123)
Inequivalent atoms, fractional coordinates:
Rb: 0.0000 0.0000 0.0000
Si: 0.5000 0.5000 0.5000
I: 0.0000 0.5000 0.0000
N: 0.0000 0.0000 0.5000

The uncorrected formation energy is 1317 meV/atom. As for the total moment: 3.58 Bohr magnetons per cell. The density of states at the Fermi level is 4.38 states/eV/cell.



12.
The following is a PBE calculation of crystalline RbSiIN2 at its relaxed geometry, from the Alexandria database.

Cell: 5.2624 5.2624 7.1580 Å, 90.00 90.00 90.00°
Space group P4/mmm (No. 123)
Inequivalent atoms, fractional coordinates:
Rb: 0.0000 0.0000 0.0000
Si: 0.5000 0.5000 0.5000
I: 0.0000 0.0000 0.5000
N: 0.0000 0.5000 0.0000

The uncorrected formation energy is 2216 meV/atom. As for the total moment: 4.00 Bohr magnetons per cell. The density of states at the Fermi level is 3.37 states/eV/cell.



13.
The following is a PBE calculation of crystalline RbSiI2N at its relaxed geometry, from the Alexandria database.

Cell: 6.4973 6.4973 3.4033 Å, 90.00 90.00 90.00°
Space group P4/mmm (No. 123)
Inequivalent atoms, fractional coordinates:
Rb: 0.0000 0.0000 0.0000
Si: 0.5000 0.5000 0.5000
I: 0.0000 0.5000 0.5000
N: 0.5000 0.5000 0.0000

The uncorrected formation energy is -253 meV/atom. As for the total moment: 0.00 Bohr magnetons per cell. The density of states at the Fermi level is 1.06 states/eV/cell.



14.
The following is a PBE calculation of crystalline RbSiIN2 at its relaxed geometry, from the Alexandria database.

Cell: 4.2337 4.2337 5.6239 Å, 90.00 90.00 90.00°
Space group P4/mmm (No. 123)
Inequivalent atoms, fractional coordinates:
Rb: 0.0000 0.0000 0.0000
Si: 0.5000 0.5000 0.5000
I: 0.5000 0.5000 0.0000
N: 0.0000 0.5000 0.5000

The uncorrected formation energy is 962 meV/atom. As for the total moment: 2.28 Bohr magnetons per cell. The density of states at the Fermi level is 1.74 states/eV/cell.



15.
The following is a PBE calculation of crystalline Rb2SnI6N at its relaxed geometry, from the Alexandria database.

Cell: 9.0608 9.0608 10.5129 Å, 90.00 90.00 90.00°
Space group I4/mmm (No. 139)
Inequivalent atoms, fractional coordinates:
Rb: 0.0000 0.5000 0.2500
Sn: 0.0000 0.0000 0.0000
I: 0.0000 0.0000 0.2846
I: 0.2347 0.2347 0.0000
N: 0.0000 0.0000 0.5000

The uncorrected formation energy is -297 meV/atom. As for the total moment: 3.94 Bohr magnetons per cell. The density of states at the Fermi level is 9.53 states/eV/cell.



16.
The following is a PBE calculation of crystalline RbSrI2N at its relaxed geometry, from the Alexandria database.

Cell: 6.5857 6.5857 5.1574 Å, 90.00 90.00 90.00°
Space group P4/mmm (No. 123)
Inequivalent atoms, fractional coordinates:
Rb: 0.0000 0.0000 0.0000
Sr: 0.5000 0.5000 0.5000
I: 0.0000 0.5000 0.5000
N: 0.5000 0.5000 0.0000

The uncorrected formation energy is -584 meV/atom. As for the total moment: 2.00 Bohr magnetons per cell. The density of states at the Fermi level is 0.52 states/eV/cell.



17.
The following is a PBE calculation of crystalline RbSrI2N at its relaxed geometry, from the Alexandria database.

Cell: 6.5674 6.5674 5.1573 Å, 90.00 90.00 90.00°
Space group P4/mmm (No. 123)
Inequivalent atoms, fractional coordinates:
Rb: 0.0000 0.0000 0.0000
Sr: 0.5000 0.5000 0.5000
I: 0.0000 0.5000 0.0000
N: 0.0000 0.0000 0.5000

The uncorrected formation energy is 132 meV/atom. As for the total moment: 2.16 Bohr magnetons per cell. The density of states at the Fermi level is 4.87 states/eV/cell.



18.
The following is a PBE calculation of crystalline RbTcIN2 at its relaxed geometry, from the Alexandria database.

Cell: 5.1592 5.1592 7.2767 Å, 90.00 90.00 90.00°
Space group P4/mmm (No. 123)
Inequivalent atoms, fractional coordinates:
Rb: 0.0000 0.0000 0.0000
Tc: 0.5000 0.5000 0.5000
I: 0.0000 0.0000 0.5000
N: 0.0000 0.5000 0.0000

The uncorrected formation energy is 2633 meV/atom. As for the total moment: 9.81 Bohr magnetons per cell. The density of states at the Fermi level is 5.54 states/eV/cell.



19.
The following is a PBE calculation of crystalline RbTcIN2 at its relaxed geometry, from the Alexandria database.

Cell: 4.6304 4.6304 5.0188 Å, 90.00 90.00 90.00°
Space group P4/mmm (No. 123)
Inequivalent atoms, fractional coordinates:
Rb: 0.0000 0.0000 0.0000
Tc: 0.5000 0.5000 0.0000
I: 0.5000 0.5000 0.5000
N: 0.0000 0.5000 0.5000

The uncorrected formation energy is 2154 meV/atom. As for the total moment: 4.37 Bohr magnetons per cell. The density of states at the Fermi level is 5.62 states/eV/cell.



20.
The following is a PBE calculation of crystalline RbTcIN2 at its relaxed geometry, from the Alexandria database.

Cell: 4.1751 4.1751 5.7656 Å, 90.00 90.00 90.00°
Space group P4/mmm (No. 123)
Inequivalent atoms, fractional coordinates:
Rb: 0.0000 0.0000 0.0000
Tc: 0.5000 0.5000 0.5000
I: 0.5000 0.5000 0.0000
N: 0.0000 0.5000 0.5000

The uncorrected formation energy is 639 meV/atom. As for the total moment: 0.00 Bohr magnetons per cell. The density of states at the Fermi level is 3.27 states/eV/cell.